1.
# PBE-GGA Pr3Sm2Sn4, relaxed
data_Pr3Sm2Sn4
_cell_length_a 8.5128
_cell_length_b 8.5469
_cell_length_c 8.2027
_cell_angle_alpha 90.00
_cell_angle_beta 110.27
_cell_angle_gamma 90.00
_space_group_name_H-M_alt 'P 1 21/c 1'
_space_group_IT_number 14
loop_
_space_group_symop_operation_xyz
'x,y,z'
'-x,-y,-z'
'-x,y+1/2,-z+1/2'
'x,-y+1/2,z+1/2'
loop_
_atom_site_label
_atom_site_fract_x
_atom_site_fract_y
_atom_site_fract_z
_atom_site_occupancy
Pr1 0.0000 0.0000 0.0000 1
Pr2 0.3066 0.1804 0.4330 1
Sm1 0.2541 0.6709 0.2597 1
Sn1 0.0130 0.1322 0.6316 1
Sn2 0.4213 0.5382 0.6603 1
# Raw total energy in eV per formula unit: -46.70
# Energy of formation in eV per formula unit: -6.9
# Crystal system: monoclinic

***

2.
# PBE-GGA Y2MgSi, relaxed
data_Y2MgSi
_cell_length_a 7.2606
_cell_length_b 7.2606
_cell_length_c 7.2606
_cell_angle_alpha 90.00
_cell_angle_beta 90.00
_cell_angle_gamma 90.00
_space_group_name_H-M_alt 'F -4 3 m'
_space_group_IT_number 216
_space_group_name_Hall 'F -4 2 3'
loop_
_atom_site_label
_atom_site_fract_x
_atom_site_fract_y
_atom_site_fract_z
_atom_site_occupancy
Y1 0.0000 0.0000 0.0000 1
Y2 0.2500 0.2500 0.2500 1
Mg1 0.2500 0.2500 0.7500 1
Si1 0.0000 0.0000 0.5000 1
# Raw total energy in eV per formula unit: -19.25
# Formation energy from raw total energies in eV per atom: 0.175
# Crystal system: cubic

***

3.
# PBE-GGA Li3NiH3, relaxed
data_Li3NiH3
_cell_length_a 5.5805
_cell_length_b 8.5584
_cell_length_c 5.1547
_cell_angle_alpha 90.00
_cell_angle_beta 96.48
_cell_angle_gamma 90.00
_space_group_name_H-M_alt 'C 1 2/m 1'
_space_group_IT_number 12
loop_
_space_group_symop_operation_xyz
'x,y,z'
'-x,-y,-z'
'-x,y,-z'
'x,-y,z'
'x+1/2,y+1/2,z'
'-x+1/2,-y+1/2,-z'
'-x+1/2,y+1/2,-z'
'x+1/2,-y+1/2,z'
loop_
_atom_site_label
_atom_site_fract_x
_atom_site_fract_y
_atom_site_fract_z
_atom_site_occupancy
Li1 0.0000 0.1780 0.0000 1
Li2 0.0000 0.2605 0.5000 1
Li3 0.1225 0.5000 0.8255 1
Ni1 0.1902 0.0000 0.6607 1
H1 0.1061 0.0000 0.3381 1
H2 0.1869 0.3488 0.1996 1
# Raw total energy in eV per formula unit: -23.73
# Crystal system: monoclinic

***

4.
# PBE-GGA ZrCo2Tc, relaxed
data_ZrCo2Tc
_cell_length_a 2.7640
_cell_length_b 2.7640
_cell_length_c 26.6234
_cell_angle_alpha 90.00
_cell_angle_beta 90.00
_cell_angle_gamma 120.00
_space_group_name_H-M_alt 'R 3 m'
_space_group_IT_number 160
_space_group_name_Hall 'R 3 -2"'
loop_
_atom_site_label
_atom_site_fract_x
_atom_site_fract_y
_atom_site_fract_z
_atom_site_occupancy
Zr1 0.0000 0.0000 0.0000 1
Co1 0.0000 0.0000 0.4930 1
Co2 0.0000 0.0000 0.7567 1
Tc1 0.0000 0.0000 0.2356 1
# Raw total energy in eV per formula unit: -31.83
# Energy of formation in eV per formula unit: 1.3
# Crystal system: trigonal

***

5.
# PBE-GGA Pr3DyTl4S8, relaxed
data_Pr3DyTl4S8
_cell_length_a 8.3429
_cell_length_b 8.3429
_cell_length_c 22.5004
_cell_angle_alpha 90.00
_cell_angle_beta 90.00
_cell_angle_gamma 120.00
_space_group_name_H-M_alt 'R -3 m'
_space_group_IT_number 166
_space_group_name_Hall '-R 3 2"'
loop_
_atom_site_label
_atom_site_fract_x
_atom_site_fract_y
_atom_site_fract_z
_atom_site_occupancy
Pr1 0.0000 0.5000 0.0000 1
Dy1 0.0000 0.0000 0.0000 1
Tl1 0.0000 0.0000 0.5000 1
Tl2 0.0000 0.5000 0.5000 1
S1 0.0000 0.0000 0.2644 1
S2 0.0095 0.5048 0.7342 1
# Raw total energy in eV per formula unit: -84.66
# Formation energy from raw total energies in eV per atom: -1.452
# Crystal system: trigonal

***

6.
# PBE-GGA LaTlOs2, relaxed
data_LaTlOs2
_cell_length_a 3.1046
_cell_length_b 4.9266
_cell_length_c 10.9502
_cell_angle_alpha 90.00
_cell_angle_beta 90.00
_cell_angle_gamma 90.00
_space_group_name_H-M_alt 'I m m 2'
_space_group_IT_number 44
loop_
_space_group_symop_operation_xyz
'x,y,z'
'-x,-y,z'
'-x,y,z'
'x,-y,z'
'x+1/2,y+1/2,z+1/2'
'-x+1/2,-y+1/2,z+1/2'
'-x+1/2,y+1/2,z+1/2'
'x+1/2,-y+1/2,z+1/2'
loop_
_atom_site_label
_atom_site_fract_x
_atom_site_fract_y
_atom_site_fract_z
_atom_site_occupancy
La1 0.0000 0.0000 0.0000 1
Tl1 0.0000 0.5000 0.2127 1
Os1 0.0000 0.0000 0.4797 1
Os2 0.0000 0.5000 0.7881 1
# Raw total energy in eV per formula unit: -27.69
# Energy of formation in eV per formula unit: 2.1
# Crystal system: orthorhombic

***

7.
# PBE-GGA LuH3Ru, relaxed
data_LuH3Ru
_cell_length_a 3.6001
_cell_length_b 3.6001
_cell_length_c 3.6001
_cell_angle_alpha 90.00
_cell_angle_beta 90.00
_cell_angle_gamma 90.00
_space_group_name_H-M_alt 'P m -3 m'
_space_group_IT_number 221
_space_group_name_Hall '-P 4 2 3'
loop_
_atom_site_label
_atom_site_fract_x
_atom_site_fract_y
_atom_site_fract_z
_atom_site_occupancy
Lu1 0.0000 0.0000 0.0000 1
H1 0.0000 0.5000 0.5000 1
Ru1 0.5000 0.5000 0.5000 1
# Raw total energy in eV per formula unit: -25.98
# Crystal system: cubic

***

8.
# PBE-GGA BaCa3Pt, relaxed
data_BaCa3Pt
_cell_length_a 7.1091
_cell_length_b 7.8811
_cell_length_c 8.0708
_cell_angle_alpha 65.19
_cell_angle_beta 76.46
_cell_angle_gamma 71.40
_space_group_name_H-M_alt 'P 1'
_space_group_IT_number 1
loop_
_space_group_symop_operation_xyz
'x,y,z'
loop_
_atom_site_label
_atom_site_fract_x
_atom_site_fract_y
_atom_site_fract_z
_atom_site_occupancy
Ba1 0.0000 0.0000 0.0000 1
Ba2 0.4274 0.0577 0.2509 1
Ca1 0.4092 0.5208 0.3311 1
Ca2 0.4402 0.5625 0.7940 1
Ca3 0.5165 0.0803 0.7139 1
Ca4 0.9036 0.4953 0.0182 1
Ca5 0.9259 0.3581 0.5063 1
Ca6 0.9676 0.8090 0.5442 1
Pt1 0.1782 0.4026 0.7143 1
Pt2 0.7518 0.1947 0.3347 1
# Raw total energy in eV per formula unit: -16.21
# Energy of formation in eV per formula unit: -2.2
# Crystal system: triclinic

***

Repeat the fifth record exactly.
# PBE-GGA Pr3DyTl4S8, relaxed
data_Pr3DyTl4S8
_cell_length_a 8.3429
_cell_length_b 8.3429
_cell_length_c 22.5004
_cell_angle_alpha 90.00
_cell_angle_beta 90.00
_cell_angle_gamma 120.00
_space_group_name_H-M_alt 'R -3 m'
_space_group_IT_number 166
_space_group_name_Hall '-R 3 2"'
loop_
_atom_site_label
_atom_site_fract_x
_atom_site_fract_y
_atom_site_fract_z
_atom_site_occupancy
Pr1 0.0000 0.5000 0.0000 1
Dy1 0.0000 0.0000 0.0000 1
Tl1 0.0000 0.0000 0.5000 1
Tl2 0.0000 0.5000 0.5000 1
S1 0.0000 0.0000 0.2644 1
S2 0.0095 0.5048 0.7342 1
# Raw total energy in eV per formula unit: -84.66
# Formation energy from raw total energies in eV per atom: -1.452
# Crystal system: trigonal

***

> raw total energy of number 8 (BaCa3Pt)?

-16.21 eV per formula unit

***

> Number 1 is which compound?

Pr3Sm2Sn4